(1)
CsReP2: optimized geometry, PBE.

```
16
Lattice="6.752 0.000 0.000 0.000 6.752 0.000 0.000 0.000 6.752" Properties=species:S:1:pos:R:3 pbc="T T T"
Cs 0.000 0.000 0.000
Cs 0.000 3.376 3.376
Cs 3.376 0.000 3.376
Cs 3.376 3.376 0.000
Re 0.000 0.000 3.376
Re 0.000 3.376 0.000
Re 3.376 0.000 0.000
Re 3.376 3.376 3.376
P 1.688 1.688 1.688
P 1.688 1.688 5.064
P 1.688 5.064 1.688
P 1.688 5.064 5.064
P 5.064 1.688 1.688
P 5.064 1.688 5.064
P 5.064 5.064 1.688
P 5.064 5.064 5.064
```

Properties
- offset from the most stable computed form (meV/atom) = 1618
- SG = Fm-3m, No. 225


(2)
Tl2PW: optimized geometry, PBE.

```
16
Lattice="10.765 0.000 0.000 0.000 10.765 0.000 0.000 0.000 4.625" Properties=species:S:1:pos:R:3 pbc="T T T"
Tl 0.000 0.000 0.000
Tl 0.000 5.382 0.000
Tl 2.691 2.691 3.469
Tl 2.691 8.074 1.156
Tl 5.382 0.000 2.312
Tl 5.382 5.382 2.312
Tl 8.074 2.691 3.469
Tl 8.074 8.074 1.156
P 0.000 2.691 1.734
P 0.000 8.074 2.890
P 5.382 2.691 0.578
P 5.382 8.074 4.047
W 0.000 2.691 4.047
W 0.000 8.074 0.578
W 5.382 2.691 2.890
W 5.382 8.074 1.734
```

Properties
- offset from the most stable computed form (meV/atom) = 297
- SG = I4_1/amd, No. 141


(3)
Cs2KHg3Bi4: optimized geometry, PBE.

```
10
Lattice="5.330 0.000 0.000 0.000 5.330 0.000 0.000 0.000 13.323" Properties=species:S:1:pos:R:3 pbc="T T T"
Cs 0.000 2.665 3.250
Cs 2.665 0.000 10.073
K 0.000 0.000 6.662
Hg 0.000 2.665 11.563
Hg 2.665 0.000 1.760
Hg 2.665 2.665 6.662
Bi 0.000 0.000 0.000
Bi 0.000 2.665 8.641
Bi 2.665 0.000 4.683
Bi 2.665 2.665 0.000
```

Properties
- SG = P-4m2, No. 115


The records above give, respectively, ΔH_f (0 K) values of 31.165 11.824 -4.400 kcal/mol of atoms.